(1)
Computed, not measured: an optimized crystal structure of Cs2KRuN at the GGA-PBEsol level of DFT.

The value obtained for the total energy is -3.9497 eV/atom.

It has space group P4/mmm (No. 123), with a = 6.5220 Å, b = 6.5220 Å, c = 3.7690 Å, α = 90.00°, β = 90.00° and γ = 90.00°. The asymmetric unit holds Cs at (0.0000, 0.5000, 0.0000), K at (0.0000, 0.0000, 0.5000), Ru at (0.5000, 0.5000, 0.5000) and N at (0.5000, 0.5000, 0.0000).

***

(2)
Computed, not measured: an optimized crystal structure of Cs2KNa2 at the GGA-PBEsol level of DFT.

The calculation puts the polymorph energy (0 for the lowest one) at 0.08 eV per formula unit. For the formation energy, the calculation gives 62 meV per atom.

It has space group P4/mbm (No. 127), with a = 12.0741 Å, b = 12.0741 Å, c = 4.6310 Å, α = 90.00°, β = 90.00° and γ = 90.00°. The asymmetric unit holds Cs at (0.1385, 0.3615, 0.0000), K at (0.0000, 0.0000, 0.0000) and Na at (0.1603, 0.6603, 0.5000).